Record 1
LiPr2ScS5: relaxed, PBE.

Structure (POSCAR):
```
LiPr2ScS5
1.0
1.976 -8.204 0.000
1.976 8.204 0.000
0.000 0.000 11.715
Li Pr Sc S
2 4 2 10
direct
0.046 0.954 0.500
0.954 0.046 0.000
0.371 0.629 0.337
0.394 0.606 0.720
0.606 0.394 0.220
0.629 0.371 0.837
0.300 0.700 0.044
0.700 0.300 0.544
0.003 0.997 0.814
0.141 0.859 0.034
0.190 0.810 0.394
0.217 0.783 0.693
0.445 0.555 0.099
0.555 0.445 0.599
0.783 0.217 0.193
0.810 0.190 0.894
0.859 0.141 0.534
0.997 0.003 0.314
```

Results
VASP energy: -6.155 eV per atom
ρ: 4.32 g cm⁻³
Raw formation energy: -1.884 eV/atom
Crystal system: orthorhombic

---

Record 2
ZrAlVRh: relaxed, PBE.

Structure (POSCAR):
```
ZrAlVRh
1.0
6.390 0.000 0.000
0.000 6.390 0.000
0.000 0.000 6.390
Zr Al V Rh
4 4 4 4
direct
0.000 0.000 0.000
0.000 0.500 0.500
0.500 0.000 0.500
0.500 0.500 0.000
0.000 0.000 0.500
0.000 0.500 0.000
0.500 0.000 0.000
0.500 0.500 0.500
0.250 0.250 0.750
0.250 0.750 0.250
0.750 0.250 0.250
0.750 0.750 0.750
0.250 0.250 0.250
0.250 0.750 0.750
0.750 0.250 0.750
0.750 0.750 0.250
```

Results
VASP energy: -7.741 eV per atom
ρ: 6.93 g cm⁻³
Energy relative to the elements: -0.5510 eV/atom
Crystal system: cubic

---

Record 3
AcB2Pd2O7: relaxed, PBE.

Structure (POSCAR):
```
AcB2Pd2O7
1.0
2.601 1.501 9.045
-2.601 1.501 9.045
0.000 -3.003 9.045
Ac B Pd O
1 2 2 7
direct
0.000 0.000 0.000
0.274 0.274 0.274
0.726 0.726 0.726
0.432 0.432 0.432
0.568 0.568 0.568
0.003 0.290 0.534
0.290 0.534 0.003
0.466 0.710 0.997
0.500 0.500 0.500
0.534 0.003 0.290
0.710 0.997 0.466
0.997 0.466 0.710
```

Results
VASP energy: -6.867 eV per atom
ρ: 4.49 g cm⁻³
Raw formation energy: -1.654 eV/atom
Crystal system: trigonal